Compound: Cu2GeP2H10O14
Source: the Alexandria database
Functional: PBEsol
Structure: optimized geometry

Lattice parameters (Å, degrees): 5.072 8.405 13.169 90.00 111.01 90.00
Positions (direct):
Cu 0.032 0.047 0.267
Cu 0.032 0.453 0.767
Cu 0.968 0.547 0.233
Cu 0.968 0.953 0.733
Ge 0.000 0.000 0.000
Ge 0.000 0.500 0.500
P 0.401 0.178 0.902
P 0.401 0.322 0.402
P 0.599 0.678 0.598
P 0.599 0.822 0.098
H 0.013 0.136 0.439
H 0.013 0.364 0.939
H 0.259 0.743 0.887
H 0.259 0.757 0.387
H 0.299 0.581 0.129
H 0.299 0.919 0.629
H 0.365 0.031 0.170
H 0.365 0.469 0.670
H 0.450 0.708 0.819
H 0.450 0.792 0.319
H 0.550 0.208 0.681
H 0.550 0.292 0.181
H 0.635 0.531 0.330
H 0.635 0.969 0.830
H 0.701 0.081 0.371
H 0.701 0.419 0.871
H 0.741 0.243 0.613
H 0.741 0.257 0.113
H 0.987 0.636 0.061
H 0.987 0.864 0.561
O 0.094 0.550 0.110
O 0.094 0.950 0.610
O 0.158 0.063 0.144
O 0.158 0.437 0.644
O 0.191 0.175 0.964
O 0.191 0.325 0.464
O 0.255 0.699 0.816
O 0.255 0.801 0.316
O 0.297 0.650 0.512
O 0.297 0.850 0.012
O 0.337 0.048 0.815
O 0.337 0.452 0.315
O 0.391 0.153 0.356
O 0.391 0.347 0.856
O 0.609 0.653 0.144
O 0.609 0.847 0.644
O 0.663 0.548 0.685
O 0.663 0.952 0.185
O 0.703 0.150 0.988
O 0.703 0.350 0.488
O 0.745 0.199 0.684
O 0.745 0.301 0.184
O 0.809 0.675 0.536
O 0.809 0.825 0.036
O 0.842 0.563 0.356
O 0.842 0.937 0.856
O 0.906 0.050 0.390
O 0.906 0.450 0.890

Properties
SG ... No. 14
Magnetization ... 4.03 Bohr magnetons per cell
Raw total energy ... -5.874 eV per atom

=====

Compound: TeS7Br2
Source: the Alexandria database
Functional: PBEsol
Structure: optimized geometry

Lattice parameters (Å, degrees): 9.556 8.825 13.144 90.00 90.00 90.00
Positions (direct):
Te 0.195 0.250 0.102
Te 0.305 0.750 0.602
Te 0.695 0.250 0.398
Te 0.805 0.750 0.898
S 0.145 0.564 0.279
S 0.145 0.936 0.279
S 0.168 0.534 0.529
S 0.168 0.966 0.529
S 0.243 0.534 0.898
S 0.243 0.966 0.898
S 0.249 0.250 0.725
S 0.251 0.750 0.225
S 0.257 0.034 0.398
S 0.257 0.466 0.398
S 0.332 0.034 0.029
S 0.332 0.466 0.029
S 0.355 0.064 0.779
S 0.355 0.436 0.779
S 0.645 0.564 0.221
S 0.645 0.936 0.221
S 0.668 0.534 0.971
S 0.668 0.966 0.971
S 0.743 0.534 0.602
S 0.743 0.966 0.602
S 0.749 0.250 0.775
S 0.751 0.750 0.275
S 0.757 0.034 0.102
S 0.757 0.466 0.102
S 0.832 0.034 0.471
S 0.832 0.466 0.471
S 0.855 0.064 0.721
S 0.855 0.436 0.721
Br 0.012 0.250 0.959
Br 0.071 0.750 0.719
Br 0.429 0.250 0.219
Br 0.488 0.750 0.459
Br 0.512 0.250 0.541
Br 0.571 0.750 0.781
Br 0.929 0.250 0.281
Br 0.988 0.750 0.041

Properties
SG ... No. 62
Magnetization ... 0.00 Bohr magnetons per cell
Raw total energy ... -3.888 eV per atom
D(E_F) ... 0.00 states/eV per atom

=====

Compound: CuBiPbS3
Source: the Alexandria database
Functional: PBEsol
Structure: optimized geometry

Lattice parameters (Å, degrees): 11.508 3.996 11.146 90.00 90.00 90.00
Positions (direct):
Cu 0.236 0.250 0.206
Cu 0.264 0.750 0.706
Cu 0.736 0.250 0.294
Cu 0.764 0.750 0.794
Bi 0.008 0.250 0.682
Bi 0.492 0.750 0.182
Bi 0.508 0.250 0.818
Bi 0.992 0.750 0.318
Pb 0.174 0.750 0.989
Pb 0.326 0.250 0.489
Pb 0.674 0.750 0.511
Pb 0.826 0.250 0.011
S 0.046 0.250 0.143
S 0.121 0.750 0.555
S 0.215 0.250 0.798
S 0.285 0.750 0.298
S 0.379 0.250 0.055
S 0.454 0.750 0.643
S 0.546 0.250 0.357
S 0.621 0.750 0.945
S 0.715 0.250 0.702
S 0.785 0.750 0.202
S 0.879 0.250 0.445
S 0.954 0.750 0.857

Properties
SG ... No. 62
Magnetization ... 0.00 Bohr magnetons per cell
Raw total energy ... -4.690 eV per atom

=====

Compound: YHgW3
Source: the Alexandria database
Functional: PBEsol
Structure: optimized geometry

Lattice parameters (Å, degrees): 4.763 4.763 4.763 90.00 90.00 90.00
Positions (direct):
Y 0.000 0.000 0.000
Hg 0.500 0.500 0.500
W 0.000 0.000 0.500
W 0.000 0.500 0.000
W 0.500 0.000 0.000

Properties
SG ... No. 221
Magnetization ... 0.00 Bohr magnetons per cell
ΔE_f ... 15.04 eV per formula unit
Raw total energy ... -6.755 eV per atom
D(E_F) ... 1.18 states/eV per atom

=====

Compound: BaMg2Te
Source: the Alexandria database
Functional: PBEsol
Structure: optimized geometry

Lattice parameters (Å, degrees): 4.358 4.287 7.146 90.00 100.34 90.00
Positions (direct):
Ba 0.000 0.000 0.000
Mg 0.229 0.000 0.493
Mg 0.676 0.500 0.371
Te 0.439 0.500 0.776

Properties
SG ... No. 6
Magnetization ... 0.00 Bohr magnetons per cell
Raw total energy ... -2.827 eV per atom
D(E_F) ... 0.42 states/eV per atom

=====

Compound: YAl2Sb
Source: the Alexandria database
Functional: PBEsol
Structure: optimized geometry

Lattice parameters (Å, degrees): 5.035 5.035 5.035 60.00 60.00 60.00
Positions (direct):
Y 0.000 0.000 0.000
Al 0.250 0.250 0.250
Al 0.500 0.500 0.500
Sb 0.750 0.750 0.750

Properties
SG ... No. 216
Magnetization ... 0.00 Bohr magnetons per cell
Raw total energy ... -4.987 eV per atom
D(E_F) ... 0.66 states/eV per atom

=====

Compound: Ba3Y2O6
Source: the Alexandria database
Functional: PBEsol
Structure: optimized geometry

Lattice parameters (Å, degrees): 11.153 11.153 11.153 157.52 157.52 32.00
Positions (direct):
Ba 0.000 0.000 0.000
Ba 0.182 0.182 0.000
Ba 0.818 0.818 0.000
Y 0.399 0.399 0.000
Y 0.601 0.601 0.000
O 0.082 0.582 0.500
O 0.301 0.301 0.000
O 0.418 0.918 0.500
O 0.582 0.082 0.500
O 0.699 0.699 0.000
O 0.918 0.418 0.500

Properties
SG ... No. 139
Magnetization ... 0.00 Bohr magnetons per cell
Raw total energy ... -7.683 eV per atom
D(E_F) ... 0.00 states/eV per atom

=====

Compound: KZnRh
Source: the Alexandria database
Functional: PBEsol
Structure: optimized geometry

Lattice parameters (Å, degrees): 6.180 6.180 6.180 148.40 148.40 45.30
Positions (direct):
K 0.000 0.000 0.000
Zn 0.272 0.272 0.000
Rh 0.721 0.721 0.000

Properties
SG ... No. 107
Magnetization ... 0.00 Bohr magnetons per cell
ΔE_f ... 0.41 eV per formula unit
Raw total energy ... -3.483 eV per atom
D(E_F) ... 0.23 states/eV per atom

=====

Compound: MgWNO2
Source: the Alexandria database
Functional: PBEsol
Structure: optimized geometry

Lattice parameters (Å, degrees): 3.560 3.560 3.920 90.00 90.00 90.00
Positions (direct):
Mg 0.000 0.000 0.000
W 0.500 0.500 0.500
N 0.000 0.000 0.500
O 0.000 0.500 0.000
O 0.500 0.000 0.000

Properties
SG ... No. 123
Magnetization ... 0.73 Bohr magnetons per cell
Raw total energy ... -6.720 eV per atom
D(E_F) ... 0.53 states/eV per atom

=====

Compound: CdInH2
Source: the Alexandria database
Functional: PBEsol
Structure: optimized geometry

Lattice parameters (Å, degrees): 4.271 4.271 4.271 60.00 60.00 60.00
Positions (direct):
Cd 0.000 0.000 0.000
In 0.500 0.500 0.500
H 0.250 0.250 0.250
H 0.750 0.750 0.750

Properties
SG ... No. 225
Magnetization ... 0.00 Bohr magnetons per cell
Raw total energy ... -2.109 eV per atom
D(E_F) ... 0.20 states/eV per atom

=====

Compound: Co2SbO2
Source: the Alexandria database
Functional: PBEsol
Structure: optimized geometry

Lattice parameters (Å, degrees): 6.680 6.680 3.334 90.00 90.00 90.00
Positions (direct):
Co 0.135 0.365 0.000
Co 0.365 0.865 0.000
Co 0.635 0.135 0.000
Co 0.865 0.635 0.000
Sb 0.000 0.000 0.000
Sb 0.500 0.500 0.000
O 0.137 0.363 0.500
O 0.363 0.863 0.500
O 0.637 0.137 0.500
O 0.863 0.637 0.500

Properties
SG ... No. 127
Magnetization ... 0.00 Bohr magnetons per cell
Raw total energy ... -6.524 eV per atom
D(E_F) ... 0.81 states/eV per atom

=====

Compound: ZrCu
Source: the Alexandria database
Functional: PBEsol
Structure: optimized geometry

Lattice parameters (Å, degrees): 8.448 8.448 8.448 21.44 21.44 21.44
Positions (direct):
Zr 0.117 0.117 0.117
Zr 0.883 0.883 0.883
Cu 0.366 0.366 0.366
Cu 0.634 0.634 0.634

Properties
SG ... No. 166
Magnetization ... 0.00 Bohr magnetons per cell
ΔE_f ... 0.37 eV per formula unit
Raw total energy ... -6.527 eV per atom
D(E_F) ... 0.92 states/eV per atom

=====

Compound: TaCrNF2
Source: the Alexandria database
Functional: PBEsol
Structure: optimized geometry

Lattice parameters (Å, degrees): 4.091 4.091 4.020 90.00 90.00 90.00
Positions (direct):
Ta 0.000 0.000 0.000
Cr 0.500 0.500 0.500
N 0.000 0.000 0.500
F 0.000 0.500 0.000
F 0.500 0.000 0.000

Properties
SG ... No. 123
Magnetization ... 4.68 Bohr magnetons per cell
Raw total energy ... -7.944 eV per atom
D(E_F) ... 0.35 states/eV per atom

=====

Compound: Be2CuTc
Source: the Alexandria database
Functional: PBEsol
Structure: optimized geometry

Lattice parameters (Å, degrees): 2.632 2.632 5.883 90.00 90.00 90.00
Positions (direct):
Be 0.000 0.000 0.000
Be 0.500 0.500 0.191
Cu 0.000 0.000 0.412
Tc 0.500 0.500 0.735

Properties
SG ... No. 99
Magnetization ... 0.00 Bohr magnetons per cell
ΔE_f ... 0.08 eV per formula unit
Raw total energy ... -5.879 eV per atom
D(E_F) ... 0.55 states/eV per atom

=====

Compound: SrHg2Au2
Source: the Alexandria database
Functional: PBEsol
Structure: optimized geometry

Lattice parameters (Å, degrees): 5.989 5.989 5.989 129.55 129.55 74.12
Positions (direct):
Sr 0.000 0.000 0.000
Hg 0.357 0.357 0.000
Hg 0.643 0.643 0.000
Au 0.250 0.750 0.500
Au 0.750 0.250 0.500

Properties
SG ... No. 139
Magnetization ... 0.00 Bohr magnetons per cell
ΔE_f ... -1.78 eV per formula unit
Raw total energy ... -2.520 eV per atom
D(E_F) ... 0.37 states/eV per atom

=====

Compound: Ce2C3
Source: the Alexandria database
Functional: PBEsol
Structure: optimized geometry

Lattice parameters (Å, degrees): 7.178 7.178 7.178 109.47 109.47 109.47
Positions (direct):
Ce 0.000 0.099 0.500
Ce 0.000 0.599 0.500
Ce 0.099 0.500 0.000
Ce 0.401 0.401 0.401
Ce 0.500 0.000 0.099
Ce 0.500 0.000 0.599
Ce 0.599 0.500 0.000
Ce 0.901 0.901 0.901
C 0.042 0.792 0.250
C 0.208 0.958 0.250
C 0.250 0.042 0.792
C 0.250 0.208 0.958
C 0.292 0.542 0.750
C 0.458 0.708 0.750
C 0.542 0.750 0.292
C 0.708 0.750 0.458
C 0.750 0.292 0.542
C 0.750 0.458 0.708
C 0.792 0.250 0.042
C 0.958 0.250 0.208

Properties
SG ... No. 220
Magnetization ... 0.00 Bohr magnetons per cell
ΔE_f ... -1.28 eV per formula unit
Raw total energy ... -8.680 eV per atom
D(E_F) ... 0.98 states/eV per atom

=====

Compound: SrNbSiB2
Source: the Alexandria database
Functional: PBEsol
Structure: optimized geometry

Lattice parameters (Å, degrees): 4.418 4.418 4.781 90.00 90.00 90.00
Positions (direct):
Sr 0.000 0.000 0.000
Nb 0.500 0.500 0.500
Si 0.500 0.500 0.000
B 0.000 0.500 0.500
B 0.500 0.000 0.500

Properties
SG ... No. 123
Magnetization ... 0.00 Bohr magnetons per cell
Raw total energy ... -6.029 eV per atom
D(E_F) ... 0.46 states/eV per atom

=====

Compound: Nb2AlB6
Source: the Alexandria database
Functional: PBEsol
Structure: optimized geometry

Lattice parameters (Å, degrees): 3.033 3.033 10.160 90.00 90.00 120.00
Positions (direct):
Nb 0.000 0.000 0.165
Nb 0.000 0.000 0.835
Al 0.000 0.000 0.500
B 0.333 0.667 0.000
B 0.333 0.667 0.341
B 0.333 0.667 0.659
B 0.667 0.333 0.000
B 0.667 0.333 0.341
B 0.667 0.333 0.659

Properties
SG ... No. 191
Magnetization ... 0.00 Bohr magnetons per cell
ΔE_f ... -4.76 eV per formula unit
Raw total energy ... -8.065 eV per atom
D(E_F) ... 0.31 states/eV per atom